(1)
{
  "formula": "LiBrO3",
  "functional": "GGA-PBE",
  "state": "relaxed",
  "mass_density_g_cm3": 3.9,
  "energy_ev_per_atom": -3.697,
  "spacegroup": "Pm-3m, No. 221",
  "lattice": [[3.856, 0.000, 0.000], [0.000, 3.856, 0.000], [0.000, 0.000, 3.856]],
  "species": ["Li", "Br", "O", "O", "O"],
  "fractional_positions": [[0.000, 0.000, 0.000], [0.500, 0.500, 0.500], [0.000, 0.500, 0.500], [0.500, 0.000, 0.500], [0.500, 0.500, 0.000]]
}

---

(2)
{
  "formula": "IrW2Au",
  "functional": "GGA-PBE",
  "state": "relaxed",
  "mass_density_g_cm3": 19.3,
  "ef_ev_per_atom": 0.195,
  "de_polymorph_ev_per_atom": 0.094,
  "spacegroup": "R3m, No. 160",
  "lattice": [[1.412, 0.815, 9.417], [-1.412, 0.815, 9.417], [0.000, -1.630, 9.417]],
  "species": ["Ir", "W", "W", "Au"],
  "fractional_positions": [[0.000, 0.000, 0.000], [0.259, 0.259, 0.259], [0.505, 0.505, 0.505], [0.754, 0.754, 0.754]]
}

---

(3)
{
  "formula": "TaAlHg2",
  "functional": "GGA-PBE",
  "state": "relaxed",
  "mass_density_g_cm3": 13.0,
  "ef_ev_per_atom": 0.392,
  "spacegroup": "Pmmm, No. 47",
  "lattice": [[3.154, 0.000, 0.000], [0.000, 4.213, 0.000], [0.000, 0.000, 5.845]],
  "species": ["Ta", "Al", "Hg", "Hg"],
  "fractional_positions": [[0.000, 0.000, 0.000], [0.000, 0.000, 0.500], [0.500, 0.500, 0.249], [0.500, 0.500, 0.751]]
}

---

(4)
{
  "formula": "LaLuMgSn",
  "functional": "GGA-PBE",
  "state": "relaxed",
  "mass_density_g_cm3": 6.9,
  "ef_ev_per_atom": -0.392,
  "spacegroup": "F-43m, No. 216",
  "lattice": [[0.000, 3.803, 3.803], [3.803, 0.000, 3.803], [3.803, 3.803, 0.000]],
  "species": ["La", "Lu", "Mg", "Sn"],
  "fractional_positions": [[0.000, 0.000, 0.000], [0.500, 0.500, 0.500], [0.250, 0.250, 0.250], [0.750, 0.750, 0.750]]
}

---

(5)
{
  "formula": "Nd3Zn9Au2",
  "functional": "GGA-PBE",
  "state": "relaxed",
  "mass_density_g_cm3": 8.7,
  "ef_ev_per_atom": -0.409,
  "spacegroup": "Immm, No. 71",
  "lattice": [[-2.225, 4.509, 6.720], [2.225, -4.509, 6.720], [2.225, 4.509, -6.720]],
  "species": ["Nd", "Nd", "Nd", "Zn", "Zn", "Zn", "Zn", "Zn", "Zn", "Zn", "Zn", "Zn", "Au", "Au"],
  "fractional_positions": [[0.000, 0.000, 0.000], [0.302, 0.302, 0.000], [0.698, 0.698, 0.000], [0.028, 0.667, 0.361], [0.145, 0.864, 0.281], [0.306, 0.667, 0.639], [0.417, 0.136, 0.281], [0.500, 0.000, 0.500], [0.583, 0.864, 0.719], [0.694, 0.333, 0.361], [0.855, 0.136, 0.719], [0.972, 0.333, 0.639], [0.299, 0.500, 0.799], [0.701, 0.500, 0.201]]
}

---

(6)
{
  "formula": "TiNiTe3",
  "functional": "GGA-PBE",
  "state": "relaxed",
  "mass_density_g_cm3": 5.6,
  "de_polymorph_ev_per_atom": 0.838,
  "spacegroup": "Pm-3m, No. 221",
  "lattice": [[5.240, 0.000, 0.000], [0.000, 5.240, 0.000], [0.000, 0.000, 5.240]],
  "species": ["Ti", "Ni", "Te", "Te", "Te"],
  "fractional_positions": [[0.000, 0.000, 0.000], [0.500, 0.500, 0.500], [0.000, 0.000, 0.500], [0.000, 0.500, 0.000], [0.500, 0.000, 0.000]]
}

---

(7)
{
  "formula": "Pr3PuSe4",
  "functional": "GGA-PBE",
  "state": "relaxed",
  "mass_density_g_cm3": 7.6,
  "de_polymorph_ev_per_atom": 0.000,
  "spacegroup": "P2/c, No. 13",
  "lattice": [[7.350, 0.000, 0.000], [0.000, 8.458, 0.000], [-2.434, 0.000, 6.920]],
  "species": ["Pr", "Pr", "Pr", "Pr", "Pr", "Pr", "Pu", "Pu", "Se", "Se", "Se", "Se", "Se", "Se", "Se", "Se"],
  "fractional_positions": [[0.000, 0.125, 0.250], [0.000, 0.374, 0.750], [0.000, 0.626, 0.250], [0.000, 0.875, 0.750], [0.500, 0.374, 0.250], [0.500, 0.626, 0.750], [0.500, 0.124, 0.750], [0.500, 0.876, 0.250], [0.253, 0.372, 0.504], [0.253, 0.628, 0.004], [0.257, 0.121, 0.999], [0.257, 0.879, 0.499], [0.743, 0.121, 0.501], [0.743, 0.879, 0.001], [0.747, 0.372, 0.996], [0.747, 0.628, 0.496]]
}

---

(8)
{
  "formula": "Rb3Sn6Au5",
  "functional": "GGA-PBE",
  "state": "relaxed",
  "mass_density_g_cm3": 7.8,
  "ef_ev_per_atom": -0.238,
  "spacegroup": "Pmmn, No. 59",
  "lattice": [[4.792, 0.000, 0.000], [0.000, 14.191, 0.000], [0.000, 0.000, 12.277]],
  "species": ["Rb", "Rb", "Rb", "Rb", "Rb", "Rb", "Sn", "Sn", "Sn", "Sn", "Sn", "Sn", "Sn", "Sn", "Sn", "Sn", "Sn", "Sn", "Au", "Au", "Au", "Au", "Au", "Au", "Au", "Au", "Au", "Au"],
  "fractional_positions": [[0.250, 0.107, 0.239], [0.250, 0.393, 0.239], [0.250, 0.750, 0.267], [0.750, 0.250, 0.733], [0.750, 0.607, 0.761], [0.750, 0.893, 0.761], [0.250, 0.060, 0.603], [0.250, 0.250, 0.474], [0.250, 0.250, 0.952], [0.250, 0.440, 0.603], [0.250, 0.568, 0.023], [0.250, 0.932, 0.023], [0.750, 0.068, 0.977], [0.750, 0.432, 0.977], [0.750, 0.560, 0.397], [0.750, 0.750, 0.048], [0.750, 0.750, 0.526], [0.750, 0.940, 0.397], [0.250, 0.075, 0.837], [0.250, 0.425, 0.837], [0.250, 0.622, 0.503], [0.250, 0.750, 0.945], [0.250, 0.878, 0.503], [0.750, 0.122, 0.497], [0.750, 0.250, 0.055], [0.750, 0.378, 0.497], [0.750, 0.575, 0.163], [0.750, 0.925, 0.163]]
}